# 1
Computed, not measured: an optimized crystal structure of PmTh2Si6 at the GGA-PBE level of DFT.

Results
Size of the total moment = 0.00 Bohr magnetons per cell
E_form (uncorrected) = -58.4 kJ per mole of atoms

Unit cell a=7.136 b=7.136 c=4.169 alpha=90.00 beta=90.00 gamma=120.00
Atoms (fractional coordinates):
Pm  0.000  0.000  0.000
Th  0.333  0.667  0.000
Th  0.667  0.333  0.000
Si  0.000  0.333  0.500
Si  0.000  0.667  0.500
Si  0.333  0.000  0.500
Si  0.333  0.333  0.500
Si  0.667  0.000  0.500
Si  0.667  0.667  0.500

***

# 2
Computed, not measured: an optimized crystal structure of TbSmHoMg at the GGA-PBE level of DFT.

Results
Size of the total moment = 0.00 Bohr magnetons per cell
Energy above the lowest structure with this stoichiometry = 0.000 eV per atom

Unit cell a=3.619 b=3.619 c=9.170 alpha=90.00 beta=90.00 gamma=90.00
Atoms (fractional coordinates):
Tb  0.000  0.000  0.000
Sm  0.500  0.500  0.271
Ho  0.000  0.000  0.540
Mg  0.500  0.500  0.768

***

# 3
Computed, not measured: an optimized crystal structure of PrDy3Sn3 at the GGA-PBE level of DFT.

Results
Size of the total moment = 0.00 Bohr magnetons per cell

Unit cell a=9.270 b=9.270 c=5.391 alpha=90.00 beta=90.00 gamma=120.00
Atoms (fractional coordinates):
Pr  0.333  0.667  0.250
Pr  0.667  0.333  0.750
Dy  0.002  0.239  0.250
Dy  0.237  0.998  0.250
Dy  0.239  0.237  0.750
Dy  0.761  0.763  0.250
Dy  0.763  0.002  0.750
Dy  0.998  0.761  0.750
Sn  0.073  0.448  0.750
Sn  0.376  0.927  0.750
Sn  0.448  0.376  0.250
Sn  0.552  0.624  0.750
Sn  0.624  0.073  0.250
Sn  0.927  0.552  0.250

***

# 4
Computed, not measured: an optimized crystal structure of TaFeCuAu at the GGA-PBE level of DFT.

Results
Size of the total moment = 1.69 Bohr magnetons per cell

Unit cell a=4.365 b=4.365 c=4.365 alpha=60.00 beta=60.00 gamma=60.00
Atoms (fractional coordinates):
Ta  0.000  0.000  0.000
Fe  0.250  0.250  0.250
Cu  0.750  0.750  0.750
Au  0.500  0.500  0.500

***

# 5
Computed, not measured: an optimized crystal structure of Tb3Dy2ScBi6 at the GGA-PBE level of DFT.

Results
Size of the total moment = 0.00 Bohr magnetons per cell

Unit cell a=9.951 b=9.951 c=8.906 alpha=102.87 beta=102.87 gamma=25.86
Atoms (fractional coordinates):
Tb  0.000  0.000  0.000
Tb  0.331  0.331  0.666
Tb  0.669  0.669  0.334
Dy  0.334  0.334  0.168
Dy  0.666  0.666  0.832
Sc  0.000  0.000  0.500
Bi  0.162  0.162  0.581
Bi  0.167  0.167  0.082
Bi  0.499  0.499  0.739
Bi  0.501  0.501  0.261
Bi  0.833  0.833  0.918
Bi  0.838  0.838  0.419

***

# 6
Computed, not measured: an optimized crystal structure of MgInPb6 at the GGA-PBE level of DFT.

Results
Size of the total moment = 0.00 Bohr magnetons per cell
Energy above the lowest structure with this stoichiometry = 0.015 eV per atom

Unit cell a=4.929 b=4.929 c=9.911 alpha=90.00 beta=90.00 gamma=90.00
Atoms (fractional coordinates):
Mg  0.000  0.000  0.000
In  0.000  0.000  0.500
Pb  0.000  0.500  0.245
Pb  0.000  0.500  0.755
Pb  0.500  0.000  0.245
Pb  0.500  0.000  0.755
Pb  0.500  0.500  0.000
Pb  0.500  0.500  0.500

***

# 7
Computed, not measured: an optimized crystal structure of Sc2Cu4Se5 at the GGA-PBE level of DFT.

Results
Size of the total moment = 0.00 Bohr magnetons per cell
E_form (uncorrected) = -68.1 kJ per mole of atoms

Unit cell a=16.557 b=16.557 c=16.557 alpha=13.58 beta=13.58 gamma=13.58
Atoms (fractional coordinates):
Sc  0.134  0.134  0.134
Sc  0.866  0.866  0.866
Cu  0.315  0.315  0.315
Cu  0.416  0.416  0.416
Cu  0.584  0.584  0.584
Cu  0.685  0.685  0.685
Se  0.231  0.231  0.231
Se  0.368  0.368  0.368
Se  0.500  0.500  0.500
Se  0.632  0.632  0.632
Se  0.769  0.769  0.769

***

# 8
Computed, not measured: an optimized crystal structure of SiTc2Hg at the GGA-PBE level of DFT.

Results
Size of the total moment = 0.00 Bohr magnetons per cell
Energy above the lowest structure with this stoichiometry = 0.507 eV per atom
E_form (uncorrected) = 53.3 kJ per mole of atoms

Unit cell a=5.220 b=5.220 c=2.871 alpha=103.26 beta=103.26 gamma=115.15
Atoms (fractional coordinates):
Si  0.000  0.000  0.000
Tc  0.000  0.500  0.500
Tc  0.500  0.000  0.500
Hg  0.500  0.500  0.000

***

# 9
Computed, not measured: an optimized crystal structure of TaCu3Ni6 at the GGA-PBE level of DFT.

Results
Size of the total moment = 0.00 Bohr magnetons per cell

Unit cell a=7.929 b=3.669 c=8.178 alpha=90.00 beta=92.37 gamma=90.00
Atoms (fractional coordinates):
Ta  0.066  0.250  0.376
Ta  0.934  0.750  0.624
Cu  0.253  0.250  0.004
Cu  0.345  0.750  0.806
Cu  0.447  0.250  0.602
Cu  0.553  0.750  0.398
Cu  0.655  0.250  0.194
Cu  0.747  0.750  0.996
Ni  0.050  0.750  0.909
Ni  0.146  0.250  0.703
Ni  0.162  0.750  0.198
Ni  0.253  0.750  0.504
Ni  0.364  0.250  0.297
Ni  0.454  0.750  0.099
Ni  0.546  0.250  0.901
Ni  0.636  0.750  0.703
Ni  0.747  0.250  0.496
Ni  0.838  0.250  0.802
Ni  0.854  0.750  0.297
Ni  0.950  0.250  0.091

***

# 10
Computed, not measured: an optimized crystal structure of Tb2MnNi3As4 at the GGA-PBE level of DFT.

Results
Size of the total moment = 3.20 Bohr magnetons per cell

Unit cell a=4.154 b=4.154 c=9.651 alpha=90.00 beta=90.00 gamma=90.00
Atoms (fractional coordinates):
Tb  0.000  0.500  0.243
Tb  0.500  0.000  0.757
Mn  0.000  0.000  0.500
Ni  0.000  0.500  0.880
Ni  0.500  0.000  0.120
Ni  0.500  0.500  0.500
As  0.000  0.000  0.000
As  0.000  0.500  0.637
As  0.500  0.000  0.363
As  0.500  0.500  0.000

***

# 11
Computed, not measured: an optimized crystal structure of YTaIr2 at the GGA-PBE level of DFT.

Results
Size of the total moment = 0.00 Bohr magnetons per cell

Unit cell a=4.882 b=4.882 c=3.029 alpha=90.00 beta=90.00 gamma=90.00
Atoms (fractional coordinates):
Y  0.000  0.000  0.000
Ta  0.500  0.500  0.000
Ir  0.000  0.500  0.500
Ir  0.500  0.000  0.500

***

# 12
Computed, not measured: an optimized crystal structure of Te2IrCl at the GGA-PBE level of DFT.

Results
Size of the total moment = 0.00 Bohr magnetons per cell
Energy above the lowest structure with this stoichiometry = 0.063 eV per atom
E_form (uncorrected) = -26.6 kJ per mole of atoms

Unit cell a=7.688 b=7.688 c=7.688 alpha=29.91 beta=29.91 gamma=29.91
Atoms (fractional coordinates):
Te  0.229  0.229  0.229
Te  0.771  0.771  0.771
Ir  0.500  0.500  0.500
Cl  0.000  0.000  0.000

***

What did we get for E? Answer: -6.397, -3.909, -4.922, -6.817, -5.222, -3.311, -4.930, -6.062, -5.960, -6.176, -9.502, -4.523 eV/atom, in the order shown.